(1)
Entry from Alexandria: a geometry-optimized NaPu4Au4 structure (PBE-GGA).

Geometry as extended XYZ:
```
18
Lattice="5.964 0.000 0.000 0.000 9.425 0.000 0.000 0.000 9.425" Properties=species:S:1:pos:R:3 pbc="T T T"
Pu 2.975 2.860 8.533
Pu 5.957 5.604 7.572
Pu 2.975 6.565 0.892
Pu 5.957 3.821 1.852
Pu 2.989 0.892 2.860
Pu 2.989 8.533 6.565
Pu 0.007 1.852 5.604
Pu 0.007 7.572 3.821
Au 5.957 6.667 0.942
Au 0.007 8.483 6.667
Au 2.989 7.470 3.770
Au 2.989 1.954 5.654
Au 0.007 0.942 2.758
Au 2.975 3.770 1.954
Au 2.975 5.654 7.470
Au 5.957 2.758 8.483
Na 0.000 0.000 0.000
Na 2.982 4.712 4.712
```

Energy of formation   -0.1059 eV/atom
Uncorrected energy   -145.4 eV per cell

***

(2)
Entry from Alexandria: a geometry-optimized DyMg5Tl6 structure (PBE-GGA).

Geometry as extended XYZ:
```
12
Lattice="4.895 -0.027 1.631 0.037 7.353 0.012 -0.061 -0.014 8.342" Properties=species:S:1:pos:R:3 pbc="T T T"
Tl 2.475 5.366 0.825
Tl 2.458 1.960 0.819
Tl 4.064 1.825 4.157
Tl 0.789 1.839 5.822
Tl 4.082 5.473 4.163
Tl 0.808 5.487 5.828
Mg 0.019 3.677 0.006
Mg 1.595 3.663 3.437
Mg 3.205 -0.027 6.704
Mg 1.630 -0.014 3.269
Mg 3.277 3.649 6.549
Dy 0.000 0.000 0.000
```

Energy of formation   -0.1007 eV/atom
Uncorrected energy   -28.0 eV per cell

***

(3)
Entry from Alexandria: a geometry-optimized Cd2ReSb structure (PBE-GGA).

Geometry as extended XYZ:
```
4
Lattice="-0.418 -4.489 -5.820 -1.837 -6.087 -3.713 -3.834 0.784 -1.985" Properties=species:S:1:pos:R:3 pbc="T T T"
Cd -2.350 -9.887 -9.075
Cd -2.949 -5.585 -6.217
Re -1.522 -2.448 -2.880
Sb -4.567 -7.344 -8.639
```

Uncorrected energy   -16.6 eV per cell
Formation energy without anion corrections   0.447 eV per atom

***

(4)
Entry from Alexandria: a geometry-optimized NaCo2AgBr structure (PBE-GGA).

Geometry as extended XYZ:
```
5
Lattice="-1.956 2.863 -2.750 -0.233 -3.771 -3.760 -3.965 -1.260 1.509" Properties=species:S:1:pos:R:3 pbc="T T T"
Na -3.077 -1.084 -2.500
Co -1.983 -0.630 0.755
Co -0.978 1.432 -1.375
Ag -0.117 -1.885 -1.880
Br 0.000 0.000 0.000
```

Uncorrected energy   -15.4 eV per cell
Formation energy without anion corrections   0.927 eV per atom

***

(5)
Entry from Alexandria: a geometry-optimized BaAs2O6 structure (PBE-GGA).

Geometry as extended XYZ:
```
18
Lattice="-6.467 6.390 3.679 0.470 -5.559 -8.066 -4.373 -2.596 0.058" Properties=species:S:1:pos:R:3 pbc="T T T"
O -4.374 -1.678 -1.729
O -5.325 -2.007 -4.336
O -7.759 -2.113 -3.286
O -4.377 2.688 1.181
O -9.114 -0.546 -1.595
O -2.610 0.348 -1.043
O -5.995 -0.087 -2.599
O -5.992 -4.453 -5.510
O -3.342 -4.159 -4.244
O -1.256 -1.220 -2.734
O -7.027 2.394 -0.084
O -5.044 0.242 0.008
As -6.040 -1.941 -2.552
As -5.394 2.011 0.027
As -4.975 -3.776 -4.356
As -4.329 0.176 -1.777
Ba -8.743 2.715 2.025
Ba -1.626 -4.480 -6.353
```

Uncorrected energy   -113.0 eV per cell
Formation energy without anion corrections   -1.725 eV per atom

***

(6)
Entry from Alexandria: a geometry-optimized BaLa3Ru structure (PBE-GGA).

Geometry as extended XYZ:
```
10
Lattice="24.259 0.000 -8.715 10.079 2.902 -6.350 -10.079 2.902 6.350" Properties=species:S:1:pos:R:3 pbc="T T T"
La 4.131 2.902 -2.205
La 8.129 2.902 -2.142
La 16.131 2.902 -6.574
La 12.061 2.902 -2.282
La 12.199 2.902 -6.433
La 20.129 2.902 -6.510
Ru -6.327 2.902 4.282
Ru 30.586 2.902 -12.997
Ba -0.135 2.902 2.066
Ba 24.394 2.902 -10.782
```

Energy of formation   -0.1235 eV/atom
Uncorrected energy   -53.2 eV per cell